#A
{"formula": "KBa2Ru", "functional": "SCAN", "state": "single point on PBEsol structure", "lattice": [[-4.192, -1.557, -1.197], [-0.168, -2.973, 4.456], [-3.105, 7.225, 1.479]], "species": ["Ba", "Ba", "K", "Ru"], "frac_coords": [[0.000, 0.117, 0.234], [0.500, 0.769, 0.539], [0.000, 0.397, 0.794], [0.500, 0.216, 0.433]], "total_magnetization_mub_per_cell": 0.01, "spacegroup": "Amm2, No. 38", "dos_at_fermi_per_ev_cell": 2.67}

#B
{"formula": "KBa2Ru", "functional": "SCAN", "state": "single point on PBEsol structure", "lattice": [[-2.109, -0.280, -3.086], [0.061, -3.706, 0.558], [-9.322, 0.794, 6.299]], "species": ["Ba", "Ba", "K", "Ru"], "frac_coords": [[0.000, 0.000, 0.160], [0.000, 0.000, 0.840], [0.500, 0.500, 0.500], [0.500, 0.500, 0.000]], "total_magnetization_mub_per_cell": 0.08, "spacegroup": "Cmmm, No. 65", "dos_at_fermi_per_ev_cell": 2.89}

Least stable: #A

#A
{"formula": "KBaSr2", "functional": "SCAN", "state": "single point on PBEsol structure", "lattice": [[4.278, 0.000, 0.000], [0.000, 6.136, 0.000], [0.000, 0.000, 8.725]], "species": ["Sr", "Sr", "K", "Ba"], "frac_coords": [[0.000, 0.000, 0.011], [0.500, 0.500, 0.245], [0.500, 0.500, 0.753], [0.000, 0.000, 0.491]], "total_magnetization_mub_per_cell": 0.28, "spacegroup": "Pmm2, No. 25", "dos_at_fermi_per_ev_cell": 4.13}

#B
{"formula": "KBaSr2", "functional": "SCAN", "state": "single point on PBEsol structure", "lattice": [[-3.274, -5.987, 0.916], [3.275, -5.934, -1.207], [1.735, -4.104, 5.248]], "species": ["Sr", "Sr", "K", "Ba"], "frac_coords": [[0.250, 0.250, 0.250], [0.750, 0.750, 0.750], [0.000, 0.000, 0.000], [0.500, 0.500, 0.500]], "total_magnetization_mub_per_cell": 0.32, "spacegroup": "Fm-3m, No. 225", "dos_at_fermi_per_ev_cell": 4.84}

#C
{"formula": "KBaSr2", "functional": "SCAN", "state": "single point on PBEsol structure", "lattice": [[4.276, 0.000, 0.000], [2.138, 3.703, 0.000], [2.138, 1.234, 14.466]], "species": ["Sr", "Sr", "K", "Ba"], "frac_coords": [[0.248, 0.248, 0.257], [0.752, 0.752, 0.743], [0.000, 0.000, 0.000], [0.500, 0.500, 0.500]], "total_magnetization_mub_per_cell": 0.18, "spacegroup": "R-3m, No. 166", "dos_at_fermi_per_ev_cell": 4.38}

#D
{"formula": "KBaSr2", "functional": "SCAN", "state": "single point on PBEsol structure", "lattice": [[6.047, 0.000, 0.000], [0.000, 6.047, 0.000], [-3.024, -3.024, 6.280]], "species": ["Ba", "K", "Sr", "Sr"], "frac_coords": [[0.500, 0.500, 0.000], [0.000, 0.000, 0.000], [0.750, 0.250, 0.500], [0.250, 0.750, 0.500]], "total_magnetization_mub_per_cell": 0.26, "spacegroup": "I4/mmm, No. 139", "dos_at_fermi_per_ev_cell": 3.83}

Least stable: #B

#A
{"formula": "KBaSr2", "functional": "SCAN", "state": "single point on PBEsol structure", "lattice": [[4.173, 0.000, -0.002], [0.000, 6.880, 0.000], [-1.336, 0.000, 7.959]], "species": ["Sr", "Sr", "K", "Ba"], "frac_coords": [[0.023, 0.000, 0.008], [0.754, 0.500, 0.246], [0.240, 0.500, 0.751], [0.483, 0.000, 0.494]], "total_magnetization_mub_per_cell": 0.25, "spacegroup": "Pm, No. 6", "dos_at_fermi_per_ev_cell": 4.51}

#B
{"formula": "KBaSr2", "functional": "SCAN", "state": "single point on PBEsol structure", "lattice": [[-2.984, -2.349, -1.730], [-1.032, -1.941, 7.740], [-2.483, 7.332, -2.303]], "species": ["Sr", "Sr", "K", "Ba"], "frac_coords": [[0.000, 0.000, 0.500], [0.500, 0.500, 0.500], [0.000, 0.500, 0.000], [0.500, 0.000, 0.000]], "total_magnetization_mub_per_cell": 0.13, "spacegroup": "C2/m, No. 12", "dos_at_fermi_per_ev_cell": 4.36}

#C
{"formula": "KBaSr2", "functional": "SCAN", "state": "single point on PBEsol structure", "lattice": [[4.160, -0.036, 0.000], [-1.525, 3.870, 0.000], [0.000, 0.000, 14.188]], "species": ["Sr", "Sr", "K", "Ba"], "frac_coords": [[0.000, 0.000, 0.988], [0.500, 0.500, 0.753], [0.500, 0.500, 0.247], [0.000, 0.000, 0.512]], "total_magnetization_mub_per_cell": 0.01, "spacegroup": "Cmm2, No. 35", "dos_at_fermi_per_ev_cell": 4.52}

#D
{"formula": "KBaSr2", "functional": "SCAN", "state": "single point on PBEsol structure", "lattice": [[-1.506, -0.284, 4.351], [6.219, -2.553, 1.986], [2.299, 6.551, 1.223]], "species": ["Sr", "Sr", "K", "Ba"], "frac_coords": [[0.000, 0.000, 0.000], [0.500, 0.500, 0.000], [0.000, 0.500, 0.500], [0.500, 0.000, 0.500]], "total_magnetization_mub_per_cell": 0.30, "spacegroup": "Pmmm, No. 47", "dos_at_fermi_per_ev_cell": 4.26}

Least stable: #D

#A
{"formula": "KBaTc2", "functional": "SCAN", "state": "single point on PBEsol structure", "lattice": [[-2.368, -1.887, -0.275], [3.272, -3.766, -2.318], [1.379, -2.667, 6.277]], "species": ["Ba", "K", "Tc", "Tc"], "frac_coords": [[0.500, 0.500, 0.000], [0.500, 0.500, 0.500], [0.001, 0.000, 0.849], [0.999, 0.000, 0.151]], "total_magnetization_mub_per_cell": 0.00, "spacegroup": "P2/m, No. 10", "dos_at_fermi_per_ev_cell": 3.88}

#B
{"formula": "KBaTc2", "functional": "SCAN", "state": "single point on PBEsol structure", "lattice": [[2.817, 0.000, 0.000], [0.000, 2.817, 0.000], [0.000, 0.000, 11.234]], "species": ["Ba", "K", "Tc", "Tc"], "frac_coords": [[0.500, 0.500, 0.000], [0.500, 0.500, 0.500], [0.000, 0.000, 0.754], [0.000, 0.000, 0.246]], "total_magnetization_mub_per_cell": 0.00, "spacegroup": "P4/mmm, No. 123", "dos_at_fermi_per_ev_cell": 3.22}

Least stable: #B

#A
{"formula": "K2BaZn", "functional": "SCAN", "state": "single point on PBEsol structure", "lattice": [[-1.326, 3.660, -1.943], [-6.293, -0.405, 3.531], [5.518, 3.585, 2.988]], "species": ["Ba", "K", "K", "Zn"], "frac_coords": [[0.500, 0.500, 0.500], [0.000, 0.500, 0.000], [0.000, 0.000, 0.500], [0.500, 0.000, 0.000]], "total_magnetization_mub_per_cell": 0.00, "spacegroup": "Cmmm, No. 65", "dos_at_fermi_per_ev_cell": 4.17}

#B
{"formula": "K2BaZn", "functional": "SCAN", "state": "single point on PBEsol structure", "lattice": [[4.614, 0.000, 0.000], [2.307, 3.996, 0.000], [2.307, 1.332, 11.745]], "species": ["Ba", "K", "K", "Zn"], "frac_coords": [[0.777, 0.777, 0.669], [0.001, 0.001, 0.996], [0.225, 0.225, 0.325], [0.497, 0.497, 0.510]], "total_magnetization_mub_per_cell": 0.04, "spacegroup": "R3m, No. 160", "dos_at_fermi_per_ev_cell": 3.77}

Least stable: #A

#A
{"formula": "K2BaZn", "functional": "SCAN", "state": "single point on PBEsol structure", "lattice": [[-0.329, 0.013, -4.434], [-4.024, -4.482, 0.968], [-4.985, 4.558, 0.383]], "species": ["Ba", "K", "K", "Zn"], "frac_coords": [[0.500, 0.000, 0.500], [0.202, 0.278, 0.000], [0.798, 0.722, 0.000], [0.000, 0.500, 0.500]], "total_magnetization_mub_per_cell": 0.00, "spacegroup": "P2/m, No. 10", "dos_at_fermi_per_ev_cell": 4.35}

#B
{"formula": "K2BaZn", "functional": "SCAN", "state": "single point on PBEsol structure", "lattice": [[-1.868, 4.690, 1.229], [-4.776, -1.930, 0.105], [0.718, -1.423, 6.525]], "species": ["Ba", "K", "K", "Zn"], "frac_coords": [[0.000, 0.500, 0.500], [0.000, 0.000, 0.000], [0.500, 0.500, 0.000], [0.500, 0.000, 0.500]], "total_magnetization_mub_per_cell": 0.42, "spacegroup": "Pmmm, No. 47", "dos_at_fermi_per_ev_cell": 4.03}

Least stable: #A